#one
Entry from Alexandria: crystalline KMoAu at its relaxed geometry (PBE).

Summary:
Magnetization ... 0.000 μB/cell
Space group ... No. 62

Geometry as POSCAR:
```
KMoAu
1.0
14.848 0.000 0.000
0.000 7.746 0.000
0.000 0.000 2.730
K Mo Au
4 4 4
Cartesian
2.493 1.937 0.013
4.931 5.810 1.378
9.917 1.937 1.353
12.355 5.810 2.718
1.393 5.810 0.000
6.031 1.937 1.365
8.817 5.810 1.365
13.455 1.937 2.730
0.000 0.000 1.365
0.000 3.873 1.365
7.424 0.000 0.000
7.424 3.873 0.000
```

#two
Entry from Alexandria: crystalline KMoAu at its relaxed geometry (PBE).

Summary:
Magnetization ... 0.001 μB/cell
Space group ... No. 44

Geometry as POSCAR:
```
KMoAu
1.0
-1.369 2.189 6.315
1.369 -2.189 6.315
1.369 2.189 -6.315
K Mo Au
1 1 1
Cartesian
0.000 0.000 0.000
0.000 0.000 9.143
0.000 0.000 3.703
```

#three
Entry from Alexandria: crystalline KMoAu at its relaxed geometry (PBE).

Summary:
Magnetization ... 0.807 μB/cell
Space group ... No. 107

Geometry as POSCAR:
```
KMoAu
1.0
-1.421 1.421 7.916
1.421 -1.421 7.916
1.421 1.421 -7.916
K Mo Au
1 1 1
Cartesian
0.000 0.000 0.000
0.000 0.000 4.853
0.000 0.000 10.708
```

Short version: #two is the most stable of them.

#one
Entry from Alexandria: crystalline KAu3N at its relaxed geometry (PBE).

Summary:
Magnetization ... 2.466 μB/cell
Space group ... No. 221

Geometry as POSCAR:
```
KAu3N
1.0
6.134 0.000 0.000
0.000 6.134 0.000
0.000 0.000 6.134
K Au N
1 3 1
Cartesian
0.000 0.000 0.000
0.000 0.000 3.067
0.000 3.067 0.000
3.067 0.000 0.000
3.067 3.067 3.067
```

#two
Entry from Alexandria: crystalline KAu3N at its relaxed geometry (PBE).

Summary:
Magnetization ... 0.000 μB/cell
Space group ... No. 221

Geometry as POSCAR:
```
KAu3N
1.0
4.648 0.000 0.000
0.000 4.648 0.000
0.000 0.000 4.648
K Au N
1 3 1
Cartesian
0.000 0.000 0.000
0.000 2.324 2.324
2.324 0.000 2.324
2.324 2.324 0.000
2.324 2.324 2.324
```

Short version: #two is the most stable of them.

#one
Entry from Alexandria: crystalline KAuN at its relaxed geometry (PBE).

Summary:
Magnetization ... 0.000 μB/cell
Space group ... No. 2

Geometry as POSCAR:
```
KAuN
1.0
4.469 0.000 0.000
-0.001 4.770 0.000
-0.742 -1.151 9.840
K Au N
2 2 2
Cartesian
-0.003 1.193 1.753
3.730 2.426 8.088
1.500 0.042 8.997
2.227 3.577 0.844
-0.324 -0.245 4.471
4.050 3.864 5.369
```

#two
Entry from Alexandria: crystalline KAuN at its relaxed geometry (PBE).

Summary:
Magnetization ... 0.000 μB/cell
Space group ... No. 129

Geometry as POSCAR:
```
KAuN
1.0
6.079 0.000 0.000
0.000 6.079 0.000
0.000 0.000 3.834
K Au N
2 2 2
Cartesian
1.520 4.559 0.000
4.559 1.520 0.000
1.520 1.520 1.910
4.559 4.559 1.924
1.520 1.520 3.826
4.559 4.559 0.007
```

Short version: #one is the most stable of them.

#one
Entry from Alexandria: crystalline KAuSeN2 at its relaxed geometry (PBE).

Summary:
Magnetization ... 0.612 μB/cell
Space group ... No. 123

Geometry as POSCAR:
```
KAuSeN2
1.0
4.283 0.000 0.000
0.000 4.283 0.000
0.000 0.000 5.408
K Au Se N
1 1 1 2
Cartesian
0.000 0.000 0.000
2.141 2.141 2.704
2.141 2.141 0.000
0.000 2.141 2.704
2.141 0.000 2.704
```

#two
Entry from Alexandria: crystalline KAuSeN2 at its relaxed geometry (PBE).

Summary:
Magnetization ... 0.220 μB/cell
Space group ... No. 123

Geometry as POSCAR:
```
KAuSeN2
1.0
4.649 0.000 0.000
0.000 4.649 0.000
0.000 0.000 6.458
K Au Se N
1 1 1 2
Cartesian
0.000 0.000 0.000
2.325 2.325 3.229
0.000 0.000 3.229
0.000 2.325 0.000
2.325 0.000 0.000
```

Short version: #one is the most stable of them.

#one
Entry from Alexandria: crystalline KNaAu3 at its relaxed geometry (PBE).

Summary:
Magnetization ... 0.000 μB/cell
Space group ... No. 221

Geometry as POSCAR:
```
KNaAu3
1.0
5.867 0.000 0.000
0.000 5.867 0.000
0.000 0.000 5.867
K Na Au
1 1 3
Cartesian
0.000 0.000 0.000
2.933 2.933 2.933
0.000 0.000 2.933
0.000 2.933 0.000
2.933 0.000 0.000
```

#two
Entry from Alexandria: crystalline KNaAu3 at its relaxed geometry (PBE).

Summary:
Magnetization ... 0.000 μB/cell
Space group ... No. 62

Geometry as POSCAR:
```
KNaAu3
1.0
5.650 0.000 0.000
0.000 7.791 0.000
0.000 0.000 10.865
K Na Au
4 4 12
Cartesian
0.001 1.948 0.049
5.650 5.843 10.816
2.826 1.948 5.383
2.824 5.843 5.482
0.000 0.000 5.433
0.000 3.896 5.433
2.825 0.000 0.000
2.825 3.896 0.000
0.008 1.948 3.194
1.407 0.533 8.149
1.407 3.363 8.149
1.418 4.428 2.716
1.418 7.259 2.716
2.817 5.843 8.627
2.833 1.948 2.238
4.232 0.533 8.149
4.232 3.363 8.149
4.244 4.428 2.717
4.244 7.259 2.717
5.643 5.843 7.671
```

#three
Entry from Alexandria: crystalline KNaAu3 at its relaxed geometry (PBE).

Summary:
Magnetization ... 0.000 μB/cell
Space group ... No. 221

Geometry as POSCAR:
```
KNaAu3
1.0
5.326 0.000 0.000
0.000 5.326 0.000
0.000 0.000 5.326
K Na Au
1 1 3
Cartesian
0.000 0.000 0.000
2.663 2.663 2.663
0.000 2.663 2.663
2.663 0.000 2.663
2.663 2.663 0.000
```

Short version: #two is the most stable of them.

#one
Entry from Alexandria: crystalline K3Na4Au2 at its relaxed geometry (PBE).

Summary:
Magnetization ... 0.000 μB/cell
Space group ... No. 15

Geometry as POSCAR:
```
K3Na4Au2
1.0
7.702 -5.574 0.000
7.702 5.574 0.000
-2.053 0.000 8.154
K Na Au
6 8 4
Cartesian
6.162 4.774 6.115
3.974 1.024 6.497
5.001 -1.024 2.420
8.350 1.024 5.734
9.376 -1.024 1.657
7.189 -4.774 2.038
2.838 1.101 0.406
5.268 2.880 2.839
1.812 -1.101 4.483
9.109 2.880 1.238
4.242 -2.880 6.916
11.539 1.101 3.670
8.082 -2.880 5.315
10.512 -1.101 7.747
2.571 1.581 3.372
1.544 -1.581 7.448
11.806 1.581 0.705
10.780 -1.581 4.782
```

#two
Entry from Alexandria: crystalline K3Na4Au2 at its relaxed geometry (PBE).

Summary:
Magnetization ... 0.000 μB/cell
Space group ... No. 12

Geometry as POSCAR:
```
K3Na4Au2
1.0
7.900 -2.382 0.000
7.900 2.382 0.000
-4.227 0.000 8.953
K Na Au
3 4 2
Cartesian
0.000 0.000 0.000
3.119 0.000 5.553
8.454 0.000 3.400
-1.045 0.000 6.137
0.864 0.000 8.941
10.709 0.000 0.013
12.619 0.000 2.817
2.803 0.000 2.063
8.770 0.000 6.890
```

Short version: #two is the most stable of them.

#one
Entry from Alexandria: crystalline KNaAu2 at its relaxed geometry (PBE).

Summary:
Magnetization ... 0.000 μB/cell
Space group ... No. 123

Geometry as POSCAR:
```
KNaAu2
1.0
5.377 0.000 0.000
0.000 5.377 0.000
0.000 0.000 3.728
K Na Au
1 1 2
Cartesian
0.000 0.000 0.000
2.689 2.689 0.000
0.000 2.689 1.864
2.689 0.000 1.864
```

#two
Entry from Alexandria: crystalline KNaAu2 at its relaxed geometry (PBE).

Summary:
Magnetization ... 0.000 μB/cell
Space group ... No. 123

Geometry as POSCAR:
```
KNaAu2
1.0
3.756 0.000 0.000
0.000 3.756 0.000
0.000 0.000 7.518
K Na Au
1 1 2
Cartesian
0.000 0.000 0.000
0.000 0.000 3.759
1.878 1.878 2.238
1.878 1.878 5.280
```

Short version: #two is the most stable of them.

#one
Entry from Alexandria: crystalline KNaAu2 at its relaxed geometry (PBE).

Summary:
Magnetization ... 0.000 μB/cell
Space group ... No. 62

Geometry as POSCAR:
```
KNaAu2
1.0
7.766 0.000 0.000
0.000 7.596 0.000
0.000 0.000 7.984
K Na Au
4 4 8
Cartesian
0.080 1.899 1.440
3.803 5.697 5.433
3.963 1.899 2.552
7.685 5.697 6.544
1.082 5.697 2.510
2.800 1.899 6.502
4.965 5.697 1.482
6.683 1.899 5.474
1.338 0.460 4.330
1.338 3.338 4.330
2.545 4.258 0.338
2.545 7.136 0.338
5.221 0.460 7.647
5.221 3.338 7.647
6.428 4.258 3.655
6.428 7.136 3.655
```

#two
Entry from Alexandria: crystalline KNaAu2 at its relaxed geometry (PBE).

Summary:
Magnetization ... 0.000 μB/cell
Space group ... No. 160

Geometry as POSCAR:
```
KNaAu2
1.0
2.242 1.295 7.409
-2.242 1.295 7.409
0.000 -2.589 7.409
K Na Au
1 1 2
Cartesian
0.000 0.000 0.000
0.000 0.000 18.448
0.000 0.000 5.179
0.000 0.000 9.547
```

Short version: #one is the most stable of them.

#one
Entry from Alexandria: crystalline KNaAu2 at its relaxed geometry (PBE).

Summary:
Magnetization ... 0.000 μB/cell
Space group ... No. 63

Geometry as POSCAR:
```
KNaAu2
1.0
2.432 -5.817 0.000
2.432 5.817 0.000
0.000 0.000 7.633
K Na Au
2 2 4
Cartesian
2.432 4.931 5.725
2.432 -4.931 1.908
2.432 3.229 1.908
2.432 -3.229 5.725
2.432 1.330 4.314
2.432 1.330 7.136
2.432 -1.330 0.497
2.432 -1.330 3.320
```

#two
Entry from Alexandria: crystalline KNaAu2 at its relaxed geometry (PBE).

Summary:
Magnetization ... 0.000 μB/cell
Space group ... No. 225

Geometry as POSCAR:
```
KNaAu2
1.0
0.000 3.781 3.781
3.781 0.000 3.781
3.781 3.781 0.000
K Na Au
1 1 2
Cartesian
0.000 0.000 0.000
3.781 3.781 3.781
1.891 1.891 1.891
5.672 5.672 5.672
```

Short version: #one is the most stable of them.

#one
Entry from Alexandria: crystalline K2Na4Au at its relaxed geometry (PBE).

Summary:
Magnetization ... 0.000 μB/cell
Space group ... No. 140

Geometry as POSCAR:
```
K2Na4Au
1.0
-7.231 7.231 2.859
7.231 -7.231 2.859
7.231 7.231 -2.859
K Na Au
4 8 2
Cartesian
9.100 1.869 0.000
1.869 5.362 0.000
5.362 1.869 2.859
-1.869 5.362 2.859
2.477 1.098 0.000
6.133 -4.754 2.859
6.133 4.754 0.000
2.477 -1.098 2.859
4.754 8.329 0.000
1.098 2.477 2.859
1.098 11.985 0.000
4.754 6.133 2.859
0.000 0.000 1.429
0.000 0.000 4.288
```

#two
Entry from Alexandria: crystalline K2Na4Au at its relaxed geometry (PBE).

Summary:
Magnetization ... 0.000 μB/cell
Space group ... No. 139

Geometry as POSCAR:
```
K2Na4Au
1.0
-2.871 2.871 9.720
2.871 -2.871 9.720
2.871 2.871 -9.720
K Na Au
2 4 1
Cartesian
0.000 0.000 2.887
0.000 0.000 16.552
2.871 0.000 0.000
0.000 0.000 6.848
0.000 2.871 0.000
0.000 0.000 12.591
0.000 0.000 9.720
```

Short version: #one is the most stable of them.

#one
Entry from Alexandria: crystalline K6NaAu at its relaxed geometry (PBE).

Summary:
Magnetization ... 0.000 μB/cell
Space group ... No. 38

Geometry as POSCAR:
```
K6NaAu
1.0
4.745 0.000 0.000
0.000 6.589 7.391
0.000 -6.589 7.391
K Na Au
6 1 1
Cartesian
0.000 0.000 0.000
0.000 -2.059 10.722
0.000 2.059 10.722
2.373 0.000 3.776
2.373 -2.939 7.198
2.373 2.939 7.198
0.000 0.000 7.272
2.373 0.000 9.112
```

#two
Entry from Alexandria: crystalline K6NaAu at its relaxed geometry (PBE).

Summary:
Magnetization ... 0.000 μB/cell
Space group ... No. 12

Geometry as POSCAR:
```
K6NaAu
1.0
5.096 -6.184 0.000
5.096 6.184 0.000
-1.799 0.000 7.773
K Na Au
6 1 1
Cartesian
2.689 3.910 5.529
1.347 0.000 7.003
5.704 3.910 2.244
2.689 -3.910 5.529
7.046 0.000 0.771
5.704 -3.910 2.244
4.197 0.000 3.887
0.000 0.000 0.000
```

Short version: #one is the most stable of them.